(1)
# Er8Ge3AsSe4 (PBE, optimized geometry)
# density of states at the Fermi level = 9.9 states/eV/cell
# total magnetic moment = 0.00 μB/f.u.
# total energy = -0.212 hartree per atom
# uncorrected formation energy = -23.33 eV per formula unit
data_Er8Ge3AsSe4
_chemical_formula_sum 'Er24 Ge9 As3 Se12'
_symmetry_space_group_name_H-M 'R -3 m'
_symmetry_Int_Tables_number 166
_symmetry_space_group_name_Hall '-R 3 2"'
_cell_length_a 8.1800
_cell_length_b 8.1800
_cell_length_c 20.0886
_cell_angle_alpha 90.00
_cell_angle_beta 90.00
_cell_angle_gamma 120.00
loop_
_atom_site_label
_atom_site_type_symbol
_atom_site_fract_x
_atom_site_fract_y
_atom_site_fract_z
Er1 Er 0.0000 0.0000 0.2455
Er2 Er 0.0029 0.5015 0.7549
Ge1 Ge 0.0000 0.5000 0.5000
As1 As 0.0000 0.0000 0.5000
Se1 Se 0.0000 0.0000 0.0000
Se2 Se 0.0000 0.5000 0.0000



(2)
# Zr2TaCo (PBE, optimized geometry)
# density of states at the Fermi level = 4.3 states/eV/cell
# energy of formation from the pure elements = -76 meV per atom
# offset from the most stable computed form = 0.0081 eV/atom
# total magnetic moment = 0.00 μB/f.u.
# total energy = -0.334 hartree per atom
data_Zr2TaCo
_chemical_formula_sum 'Zr2 Ta1 Co1'
_symmetry_space_group_name_H-M 'P 1 2/m 1'
_symmetry_Int_Tables_number 10
_symmetry_space_group_name_Hall '-P 2y'
_cell_length_a 3.2201
_cell_length_b 3.2275
_cell_length_c 7.0585
_cell_angle_alpha 90.00
_cell_angle_beta 90.08
_cell_angle_gamma 90.00
loop_
_atom_site_label
_atom_site_type_symbol
_atom_site_fract_x
_atom_site_fract_y
_atom_site_fract_z
Zr1 Zr 0.0008 0.0000 0.2758
Ta1 Ta 0.5000 0.5000 0.0000
Co1 Co 0.5000 0.5000 0.5000



(3)
# KUSe4 (PBE, optimized geometry)
# density of states at the Fermi level = 15.7 states/eV/cell
# offset from the most stable computed form = 0.0293 eV/atom
# total magnetic moment = 2.42 μB/f.u.
# total energy = -0.194 hartree per atom
# uncorrected formation energy = -5.35 eV per formula unit
data_KUSe4
_chemical_formula_sum 'K2 U2 Se8'
_symmetry_space_group_name_H-M 'P 4/n b m'
_symmetry_Int_Tables_number 125
_cell_length_a 6.2995
_cell_length_b 6.2995
_cell_length_c 8.3288
_cell_angle_alpha 90.00
_cell_angle_beta 90.00
_cell_angle_gamma 90.00
loop_
_symmetry_equiv_pos_as_xyz
'x,y,z'
'-x,-y,-z'
'-y+1/2,x,z'
'y+1/2,-x,-z'
'-x+1/2,-y+1/2,z'
'x+1/2,y+1/2,-z'
'y,-x+1/2,z'
'-y,x+1/2,-z'
'x,-y+1/2,-z'
'-x,y+1/2,z'
'-y+1/2,-x+1/2,-z'
'y+1/2,x+1/2,z'
'-x+1/2,y,-z'
'x+1/2,-y,z'
'y,x,-z'
'-y,-x,z'
loop_
_atom_site_label
_atom_site_type_symbol
_atom_site_fract_x
_atom_site_fract_y
_atom_site_fract_z
K1 K 0.2500 0.2500 0.0000
U1 U 0.2500 0.2500 0.5000
Se1 Se 0.1034 0.6034 0.3005



(4)
# KSnHgI6 (PBE, optimized geometry)
# density of states at the Fermi level = 4.0 states/eV/cell
# total magnetic moment = 0.87 μB/f.u.
# total energy = -0.079 hartree per atom
# uncorrected formation energy = -4.75 eV per formula unit
data_KSnHgI6
_chemical_formula_sum 'K1 Sn1 Hg1 I6'
_symmetry_space_group_name_H-M 'P 1'
_symmetry_Int_Tables_number 1
_symmetry_space_group_name_Hall 'P 1'
_cell_length_a 8.0109
_cell_length_b 8.2871
_cell_length_c 8.5623
_cell_angle_alpha 61.17
_cell_angle_beta 83.61
_cell_angle_gamma 76.74
loop_
_atom_site_label
_atom_site_type_symbol
_atom_site_fract_x
_atom_site_fract_y
_atom_site_fract_z
K1 K 0.0000 0.0000 0.0000
Sn1 Sn 0.0011 0.6133 0.7714
Hg1 Hg 0.4997 0.3532 0.2916
I1 I 0.1706 0.9315 0.6259
I2 I 0.2514 0.3043 0.0096
I3 I 0.3204 0.6374 0.3408
I4 I 0.6795 0.0199 0.3417
I5 I 0.7526 0.6816 0.0128
I6 I 0.8294 0.4414 0.6264



(5)
# TlAgGeHSe (PBE, optimized geometry)
# density of states at the Fermi level = 2.4 states/eV/cell
# offset from the most stable computed form = 0.0177 eV/atom
# total magnetic moment = 0.00 μB/f.u.
# total energy = -0.122 hartree per atom
data_TlAgGeHSe
_chemical_formula_sum 'Tl2 Ag2 Ge2 H2 Se2'
_symmetry_space_group_name_H-M 'C 1 m 1'
_symmetry_Int_Tables_number 8
_symmetry_space_group_name_Hall 'C -2y'
_cell_length_a 9.0595
_cell_length_b 4.2337
_cell_length_c 6.4536
_cell_angle_alpha 90.00
_cell_angle_beta 98.28
_cell_angle_gamma 90.00
loop_
_atom_site_label
_atom_site_type_symbol
_atom_site_fract_x
_atom_site_fract_y
_atom_site_fract_z
Tl1 Tl 0.0000 0.0000 0.0000
Ag1 Ag 0.4240 0.0000 0.4540
Ge1 Ge 0.2630 0.5000 0.4330
H1 H 0.1048 0.5000 0.2731
Se1 Se 0.1609 0.5000 0.7641



(6)
# Tb5Ho3In2 (PBE, optimized geometry)
# density of states at the Fermi level = 48.5 states/eV/cell
# energy of formation from the pure elements = 116 meV per atom
# total magnetic moment = 0.00 μB/f.u.
# total energy = -0.151 hartree per atom
data_Tb5Ho3In2
_chemical_formula_sum 'Tb20 Ho12 In8'
_symmetry_space_group_name_H-M 'I b a m'
_symmetry_Int_Tables_number 72
_symmetry_space_group_name_Hall '-I 2 2c'
_cell_length_a 12.7771
_cell_length_b 15.5953
_cell_length_c 6.3420
_cell_angle_alpha 90.00
_cell_angle_beta 90.00
_cell_angle_gamma 90.00
loop_
_atom_site_label
_atom_site_type_symbol
_atom_site_fract_x
_atom_site_fract_y
_atom_site_fract_z
Tb1 Tb 0.0000 0.0000 0.2500
Tb2 Tb 0.1279 0.1642 0.0000
Tb3 Tb 0.2505 0.0000 0.2500
Ho1 Ho 0.0000 0.5000 0.2500
Ho2 Ho 0.1081 0.2698 0.5000
In1 In 0.1328 0.3539 0.0000